## NaPrHoIn (PBE-GGA)

Data for an optimized crystal structure of NaPrHoIn.

```
NaPrHoIn
1.0
0.0000 3.8783 3.8783
3.8783 0.0000 3.8783
3.8783 3.8783 0.0000
Na Pr Ho In
1 1 1 1
Direct
0.0000 0.0000 0.0000
0.2500 0.2500 0.2500
0.7500 0.7500 0.7500
0.5000 0.5000 0.5000
```

Formation enthalpy at 0 K = -0.14 eV/atom
N(E_F) = 1.182 states/eV per atom
Spin magnetization = 0.0 μB per cell
Density = 6.3 g/cm3

## ErZrOs (PBE-GGA)

Data for an optimized crystal structure of ErZrOs.

```
ErZrOs
1.0
7.1275 0.0000 0.0000
-3.5638 6.1726 0.0000
0.0000 0.0000 4.4491
Er Zr Os
3 3 3
Direct
0.0000 0.4182 0.0000
0.4182 0.0000 0.0000
0.5818 0.5818 0.0000
0.0000 0.7475 0.5000
0.2525 0.2525 0.5000
0.7475 0.0000 0.5000
0.0000 0.0000 0.0000
0.3333 0.6667 0.5000
0.6667 0.3333 0.5000
```

Formation enthalpy at 0 K = -0.32 eV/atom
N(E_F) = 1.017 states/eV per atom
Spin magnetization = 0.0 μB per cell
Density = 11.4 g/cm3